Compound: CoGe
Source: Alexandria via LeMat-Bulk
Functional: GGA-PBE
Structure: relaxed

Results
The value obtained for the density is 8.19 Mg/m³. Its formation energy is -0.1018 eV per atom. Its crystal system is orthorhombic.

Unit cell a=3.002 b=5.249 c=6.773 alpha=90.00 beta=90.00 gamma=90.00
Positions (direct):
Ge (0.000, 0.255, 0.500)
Ge (0.000, 0.745, 0.500)
Ge (0.500, 0.755, 0.000)
Ge (0.500, 0.245, 0.000)
Co (0.500, 0.000, 0.301)
Co (0.500, 0.000, 0.699)
Co (0.000, 0.500, 0.801)
Co (0.000, 0.500, 0.199)


Compound: Ba4NiCl
Source: Alexandria via LeMat-Bulk
Functional: GGA-PBE
Structure: relaxed

Results
Its energy relative to the lowest polymorph listed for this composition is 0 meV/atom. The value obtained for the density is 3.83 Mg/m³. Its crystal system is monoclinic. Its uncorrected formation energy is -564 meV per atom.

Unit cell a=4.499 b=7.939 c=8.334 alpha=101.57 beta=90.02 gamma=106.42
Positions (direct):
Ba (0.876, 0.751, 0.652)
Ba (0.124, 0.249, 0.348)
Ba (0.385, 0.770, 0.112)
Ba (0.615, 0.230, 0.888)
Ni (0.000, 0.000, 0.000)
Cl (0.500, 0.000, 0.500)


Compound: K7ICl5
Source: Alexandria via LeMat-Bulk
Functional: GGA-PBE
Structure: relaxed

Results
The value obtained for the density is 1.97 Mg/m³. Its crystal system is monoclinic. Its uncorrected formation energy is -1680 meV per atom.

Unit cell a=4.604 b=8.015 c=27.556 alpha=90.21 beta=90.00 gamma=106.69
Positions (direct):
K (0.468, 0.937, 0.250)
K (0.532, 0.064, 0.750)
K (0.636, 0.272, 0.033)
K (0.365, 0.730, 0.967)
K (0.365, 0.731, 0.533)
K (0.635, 0.270, 0.467)
K (0.167, 0.334, 0.172)
K (0.834, 0.668, 0.828)
K (0.835, 0.670, 0.671)
K (0.165, 0.330, 0.329)
K (0.909, 0.817, 0.103)
K (0.092, 0.185, 0.897)
K (0.094, 0.187, 0.604)
K (0.907, 0.814, 0.396)
I (0.786, 0.572, 0.251)
I (0.214, 0.428, 0.749)
Cl (0.000, 0.001, 0.000)
Cl (0.729, 0.459, 0.929)
Cl (0.271, 0.543, 0.071)
Cl (0.537, 0.075, 0.366)
Cl (0.463, 0.926, 0.634)
Cl (0.000, 0.000, 0.500)
Cl (0.270, 0.541, 0.429)
Cl (0.730, 0.460, 0.571)
Cl (0.462, 0.923, 0.866)
Cl (0.539, 0.078, 0.134)


Compound: ThNi5Sb
Source: Alexandria via LeMat-Bulk
Functional: GGA-PBE
Structure: relaxed

Results
The value obtained for the density is 10.28 Mg/m³. Its crystal system is orthorhombic. Its uncorrected formation energy is -407 meV per atom.

Unit cell a=5.015 b=8.113 c=10.282 alpha=90.00 beta=90.00 gamma=90.00
Positions (direct):
Th (0.250, 0.255, 0.944)
Th (0.750, 0.245, 0.444)
Th (0.250, 0.755, 0.556)
Th (0.750, 0.745, 0.056)
Ni (0.250, 0.586, 0.020)
Ni (0.750, 0.914, 0.520)
Ni (0.250, 0.086, 0.480)
Ni (0.750, 0.414, 0.980)
Ni (0.750, 0.326, 0.747)
Ni (0.250, 0.174, 0.247)
Ni (0.750, 0.826, 0.753)
Ni (0.250, 0.674, 0.253)
Ni (0.250, 0.928, 0.098)
Ni (0.750, 0.572, 0.598)
Ni (0.250, 0.428, 0.402)
Ni (0.750, 0.072, 0.902)
Ni (0.000, 0.428, 0.191)
Ni (0.000, 0.072, 0.691)
Ni (0.500, 0.928, 0.309)
Ni (0.500, 0.572, 0.809)
Ni (0.000, 0.572, 0.809)
Ni (0.000, 0.928, 0.309)
Ni (0.500, 0.072, 0.691)
Ni (0.500, 0.428, 0.191)
Sb (0.250, 0.856, 0.856)
Sb (0.750, 0.644, 0.356)
Sb (0.250, 0.356, 0.644)
Sb (0.750, 0.144, 0.144)